Ba2CuP2O8: single point on PBEsol structure, meta-GGA SCAN.

DOS at the Fermi energy = 0.00 states/eV/cell
Formation energy without anion corrections = -2.72 eV per atom
SG = C2/m, No. 12

a b c (Å): 5.140 6.603 6.870
angles (deg): 104.41 90.00 112.90
Site moments in Bohr magnetons follow the coordinates.
Sites, in units of the cell vectors:
Ba (0.826, 0.652, 0.785)  0.00
Ba (0.174, 0.348, 0.215)  0.00
O (0.744, 0.488, 0.157)  0.01
O (0.877, 0.244, 0.561)  0.06
O (0.046, 0.092, 0.825)  0.00
O (0.954, 0.908, 0.175)  0.00
O (0.256, 0.512, 0.843)  0.01
O (0.368, 0.244, 0.561)  0.06
O (0.632, 0.756, 0.439)  0.06
O (0.123, 0.756, 0.439)  0.06
P (0.133, 0.266, 0.702)  0.00
P (0.867, 0.734, 0.298)  0.00
Cu (0.500, 0.000, 0.500)  0.71

***

Mo2PRu: single point on PBEsol structure, meta-GGA SCAN.

DOS at the Fermi energy = 2.53 states/eV/cell
Calculated formation energy = 0.0438 eV per atom
SG = Cmmm, No. 65

a b c (Å): 2.805 4.728 4.728
angles (deg): 117.96 90.00 90.00
Sites, in units of the cell vectors:
Mo (0.000, 0.500, 0.000)
Mo (0.000, 0.000, 0.500)
P (0.500, 0.500, 0.500)
Ru (0.500, 0.000, 0.000)

***

SrCa2Se: single point on PBEsol structure, meta-GGA SCAN.

DOS at the Fermi energy = 2.10 states/eV/cell
Formation energy without anion corrections = -0.95 eV per atom
SG = P4mm, No. 99

a b c (Å): 3.731 3.731 9.742
angles (deg): 90.00 90.00 90.00
Sites, in units of the cell vectors:
Se (0.000, 0.000, 0.486)
Ca (0.500, 0.500, 0.320)
Ca (0.000, 0.000, 0.012)
Sr (0.500, 0.500, 0.682)

***

HoH2: single point on PBEsol structure, meta-GGA SCAN.

DOS at the Fermi energy = 0.67 states/eV/cell
SG = Fm-3m, No. 225
E = -19.428 eV per atom

a b c (Å): 3.592 3.592 3.592
angles (deg): 60.00 60.00 60.00
Sites, in units of the cell vectors:
H (0.250, 0.250, 0.250)
H (0.750, 0.750, 0.750)
Ho (0.000, 0.000, 0.000)

***

BeGaP2: single point on PBEsol structure, meta-GGA SCAN.

DOS at the Fermi energy = 3.77 states/eV/cell
Calculated formation energy = -0.2292 eV per atom
SG = I-42d, No. 122

a b c (Å): 5.123 5.123 6.379
angles (deg): 113.68 113.68 90.00
Sites, in units of the cell vectors:
Ga (0.000, 0.000, 0.000)
Ga (0.250, 0.750, 0.500)
P (0.841, 0.375, 0.250)
P (0.409, 0.875, 0.250)
P (0.625, 0.591, 0.750)
P (0.125, 0.159, 0.750)
Be (0.500, 0.500, 0.000)
Be (0.750, 0.250, 0.500)

***

CoMo2As: single point on PBEsol structure, meta-GGA SCAN.

DOS at the Fermi energy = 3.90 states/eV/cell
Calculated formation energy = 0.3772 eV per atom
SG = R-3m, No. 166

a b c (Å): 2.788 2.788 8.493
angles (deg): 80.55 80.55 60.00
Site moments in Bohr magnetons follow the coordinates.
Sites, in units of the cell vectors:
As (0.500, 0.500, 0.500)  -0.01
Co (0.000, 0.000, 0.000)  1.53
Mo (0.253, 0.253, 0.241)  -0.10
Mo (0.747, 0.747, 0.759)  -0.10

***

SiHg2H: single point on PBEsol structure, meta-GGA SCAN.

DOS at the Fermi energy = 1.75 states/eV/cell
SG = Fm-3m, No. 225
E = -36.634 eV per atom

a b c (Å): 4.545 4.545 4.545
angles (deg): 60.00 60.00 60.00
Sites, in units of the cell vectors:
Hg (0.750, 0.750, 0.750)
Hg (0.250, 0.250, 0.250)
H (0.000, 0.000, 0.000)
Si (0.500, 0.500, 0.500)

***

Si2Ni2W: single point on PBEsol structure, meta-GGA SCAN.

DOS at the Fermi energy = 1.00 states/eV/cell
Formation energy without anion corrections = -0.35 eV per atom
SG = P4/mbm, No. 127

a b c (Å): 2.648 6.696 6.696
angles (deg): 90.00 90.00 90.00
Sites, in units of the cell vectors:
Si (0.000, 0.148, 0.352)
Si (0.000, 0.648, 0.148)
Si (0.000, 0.852, 0.648)
Si (0.000, 0.352, 0.852)
W (0.000, 0.500, 0.500)
W (0.000, 0.000, 0.000)
Ni (0.500, 0.645, 0.855)
Ni (0.500, 0.855, 0.355)
Ni (0.500, 0.145, 0.645)
Ni (0.500, 0.355, 0.145)

***

Tl2IF2: single point on PBEsol structure, meta-GGA SCAN.

DOS at the Fermi energy = 2.36 states/eV/cell
Formation energy without anion corrections = -1.35 eV per atom
SG = I4/mmm, No. 139

a b c (Å): 4.092 4.092 7.331
angles (deg): 106.21 106.21 90.00
Sites, in units of the cell vectors:
F (0.750, 0.250, 0.500)
F (0.250, 0.750, 0.500)
I (0.000, 0.000, 0.000)
Tl (0.357, 0.357, 0.714)
Tl (0.643, 0.643, 0.286)

***

Mg2InSb: single point on PBEsol structure, meta-GGA SCAN.

Distance to the lowest polymorph of the same formula = 0.06 eV per formula unit
DOS at the Fermi energy = 1.60 states/eV/cell
Formation energy without anion corrections = -0.17 eV per atom
SG = P2/m, No. 10

a b c (Å): 3.417 4.109 6.614
angles (deg): 90.00 89.64 90.00
Sites, in units of the cell vectors:
Sb (0.500, 0.500, 0.000)
In (0.500, 0.500, 0.500)
Mg (0.001, 0.000, 0.248)
Mg (0.999, 0.000, 0.752)

***

MgFe3H: single point on PBEsol structure, meta-GGA SCAN.

DOS at the Fermi energy = 1.60 states/eV/cell
SG = Pm-3m, No. 221
E = -12.507 eV per atom

a b c (Å): 3.720 3.720 3.720
angles (deg): 90.00 90.00 90.00
Site moments in Bohr magnetons follow the coordinates.
Sites, in units of the cell vectors:
Fe (0.500, 0.000, 0.000)  2.49
Fe (0.000, 0.000, 0.500)  2.49
Fe (0.000, 0.500, 0.000)  2.49
Mg (0.500, 0.500, 0.500)  -0.07
H (0.000, 0.000, 0.000)  -0.04

***

TaIn2Os: single point on PBEsol structure, meta-GGA SCAN.

Distance to the lowest polymorph of the same formula = 0.00 eV per formula unit
DOS at the Fermi energy = 2.75 states/eV/cell
Calculated formation energy = 0.0528 eV per atom
SG = P4mm, No. 99

a b c (Å): 3.074 3.074 8.157
angles (deg): 90.00 90.00 90.00
Sites, in units of the cell vectors:
Ta (0.500, 0.500, 0.710)
In (0.000, 0.000, 0.968)
In (0.500, 0.500, 0.293)
Os (0.000, 0.000, 0.529)